(1)
Density functional theory data (PBE) for crystalline ZrTaW2 at its relaxed geometry.

```
ZrTaW2
1.0
-0.147 2.764 1.763
-2.979 -0.849 1.084
2.785 -3.157 5.180
Ta W Zr
1 2 1
Cartesian
0.526 -1.411 5.308
2.747 -3.115 5.110
1.430 -1.621 2.660
-0.866 0.168 2.718
```

Output
Relative energy among the computed polymorphs, meV per atom: 38.4

---

(2)
Density functional theory data (PBE) for crystalline ZrTa2W at its relaxed geometry.

```
ZrTa2W
1.0
9.245 -0.006 -0.004
8.720 3.072 -0.004
8.720 1.488 2.687
Ta W Zr
2 1 1
Cartesian
26.561 4.532 2.667
6.565 1.120 0.659
13.467 2.298 1.352
20.122 3.433 2.021
```

Output
Relative energy among the computed polymorphs, meV per atom: 277.1

---

(3)
Density functional theory data (PBE) for crystalline ZrTaW2 at its relaxed geometry.

```
ZrTaW2
1.0
-3.223 0.582 -0.195
-0.881 -4.435 1.324
-0.029 1.324 4.417
Ta W Zr
1 2 1
Cartesian
-0.455 -1.556 2.871
0.000 0.000 0.000
-2.052 -1.927 0.564
-1.626 0.953 2.111
```

Output
Relative energy among the computed polymorphs, meV per atom: 79.9

---

(4)
Density functional theory data (PBE) for crystalline ZrTa2W at its relaxed geometry.

```
ZrTa2W
1.0
-2.299 0.548 -2.265
0.577 -2.949 -1.299
-4.829 -2.805 4.222
Ta W Zr
2 1 1
Cartesian
-0.131 -0.076 0.114
-2.284 -1.326 1.997
-2.068 -1.902 -0.727
-4.483 -3.304 1.384
```

Output
Relative energy among the computed polymorphs, meV per atom: 0.0

---

(5)
Density functional theory data (PBE) for crystalline ZrTaW2 at its relaxed geometry.

```
ZrTaW2
1.0
4.579 0.000 0.000
0.000 2.858 0.000
0.000 0.894 5.452
Ta W Zr
1 2 1
Cartesian
2.290 2.814 4.089
0.000 3.738 5.416
0.000 1.889 2.761
2.290 0.938 1.363
```

Output
Relative energy among the computed polymorphs, meV per atom: 62.1

---

(6)
Density functional theory data (PBE) for crystalline ZrTa2W at its relaxed geometry.

```
ZrTa2W
1.0
7.534 0.000 0.000
0.000 7.534 0.000
3.767 3.767 2.845
Zr W Ta
2 2 4
Cartesian
3.767 3.767 0.000
3.767 7.534 1.423
0.000 0.000 0.000
7.534 3.767 1.423
5.857 1.883 0.711
1.677 5.650 0.711
5.650 5.443 2.134
9.417 9.624 2.134
```

Output
Relative energy among the computed polymorphs, meV per atom: 667.8

---

(7)
Density functional theory data (PBE) for crystalline ZrTaW2 at its relaxed geometry.

```
ZrTaW2
1.0
-0.418 -1.716 2.704
2.485 -1.895 -0.818
4.335 4.234 3.358
Ta W Zr
1 2 1
Cartesian
4.377 1.460 3.533
0.038 0.037 0.029
2.014 -0.847 1.703
2.140 2.090 1.657
```

Output
Relative energy among the computed polymorphs, meV per atom: 16.7

---

(8)
Density functional theory data (PBE) for crystalline ZrTa4W at its relaxed geometry.

```
ZrTa4W
1.0
0.000 3.858 3.858
3.858 0.000 3.858
3.858 3.858 0.000
Zr Ta W
1 4 1
Cartesian
0.000 0.000 0.000
2.893 4.823 4.823
4.823 4.823 2.893
4.823 2.893 4.823
2.893 2.893 2.893
5.787 5.787 5.787
```

Output
VASP energy, eV per formula unit: -67.75

---

(9)
Density functional theory data (PBE) for crystalline ZrTa2W at its relaxed geometry.

```
ZrTa2W
1.0
-1.658 -4.450 2.885
1.230 -5.211 1.484
1.963 -0.494 4.315
Ta W Zr
2 1 1
Cartesian
1.952 -0.536 4.315
1.120 -7.737 6.514
0.787 -5.000 4.341
0.406 -2.455 2.171
```

Output
Relative energy among the computed polymorphs, meV per atom: 33.3

---

(10)
Density functional theory data (PBE) for crystalline ZrTa2W at its relaxed geometry.

```
ZrTa2W
1.0
4.713 0.000 0.000
2.356 4.081 0.000
2.356 1.360 3.848
Ta W Zr
2 1 1
Cartesian
0.000 0.000 0.000
7.069 4.081 2.886
4.713 2.721 1.924
2.356 1.360 0.962
```

Output
Relative energy among the computed polymorphs, meV per atom: 62.3

---

(11)
Density functional theory data (PBE) for crystalline ZrTaW2 at its relaxed geometry.

```
ZrTaW2
1.0
2.854 0.002 0.000
-1.020 2.665 0.000
0.000 0.000 9.436
Ta W Zr
1 2 1
Cartesian
0.917 1.333 7.248
0.000 0.000 0.062
0.917 1.333 2.202
0.000 0.000 4.641
```

Output
Relative energy among the computed polymorphs, meV per atom: 36.4

---

(12)
Density functional theory data (PBE) for crystalline ZrTa2W at its relaxed geometry.

```
ZrTa2W
1.0
-1.598 0.840 4.347
0.582 4.248 1.941
-3.711 2.825 0.638
Zr W Ta
1 1 2
Cartesian
0.000 0.000 0.000
-2.363 3.956 3.463
-1.182 1.978 1.732
-3.545 5.934 5.195
```

Output
Relative energy among the computed polymorphs, meV per atom: 37.2

---

(13)
Density functional theory data (PBE) for crystalline ZrTa2W at its relaxed geometry.

```
ZrTa2W
1.0
4.703 0.000 0.000
0.000 4.703 0.000
0.000 0.000 3.337
Ta W Zr
2 1 1
Cartesian
0.000 0.000 0.000
2.352 2.352 0.000
2.352 0.000 1.668
0.000 2.352 1.668
```

Output
Relative energy among the computed polymorphs, meV per atom: 72.4

---

(14)
Density functional theory data (PBE) for crystalline Zr3TaW at its relaxed geometry.

```
Zr3TaW
1.0
-4.720 -1.417 -0.945
0.325 -3.480 3.601
-1.672 3.326 3.365
Zr W Ta
3 1 1
Cartesian
0.162 -1.740 1.800
-0.836 1.663 1.683
-2.360 -0.709 -0.472
0.000 0.000 0.000
-3.034 -0.786 3.010
```

Output
Relative energy among the computed polymorphs, meV per atom: 0.0

---

(15)
Density functional theory data (PBE) for crystalline ZrTaW2 at its relaxed geometry.

```
ZrTaW2
1.0
0.000 3.294 3.294
3.294 0.000 3.294
3.294 3.294 0.000
Zr W Ta
1 2 1
Cartesian
0.000 0.000 0.000
1.647 1.647 1.647
4.942 4.942 4.942
3.294 3.294 3.294
```

Output
Relative energy among the computed polymorphs, meV per atom: 41.3